# AlCu2Ni5B2 | Alexandria | PBE | relaxed
data_AlCu2Ni5B2
_chemical_formula_sum 'Al2 Cu4 Ni10 B4'
_symmetry_space_group_name_H-M 'P 4/m b m'
_symmetry_Int_Tables_number 127
_symmetry_space_group_name_Hall '-P 4 2ab'
_cell_length_a 8.4715
_cell_length_b 8.4715
_cell_length_c 2.8939
_cell_angle_alpha 90.00
_cell_angle_beta 90.00
_cell_angle_gamma 90.00
loop_
_atom_site_label
_atom_site_fract_x
_atom_site_fract_y
_atom_site_fract_z
Al1 0.0000 0.0000 0.0000
Cu1 0.1775 0.3225 0.0000
Ni1 0.0000 0.5000 0.5000
Ni2 0.0698 0.7812 0.5000
B1 0.1245 0.6245 0.0000
# ΔE_f = -5.3 kcal/mol of atoms